(1)
DFT (PBE) results for Y3TmPd3 after structural relaxation.

Structure (POSCAR):
```
Y3TmPd3
1.0
4.606 -5.205 0.000
4.606 5.205 0.000
-0.280 0.000 7.101
Y Tm Pd
6 2 6
direct
0.176 0.824 0.000
0.254 0.746 0.500
0.348 0.348 0.134
0.652 0.652 0.866
0.746 0.254 0.500
0.824 0.176 0.000
0.258 0.258 0.624
0.742 0.742 0.376
0.019 0.500 0.781
0.062 0.062 0.311
0.500 0.019 0.781
0.500 0.981 0.219
0.938 0.938 0.689
0.981 0.500 0.219
```

Properties
ΔH_f (0 K) ... -0.70 eV/atom
Crystal system ... monoclinic

---

(2)
DFT (PBE) results for La2HgRh after structural relaxation.

Structure (POSCAR):
```
La2HgRh
1.0
4.159 0.000 0.000
-2.079 3.601 0.000
0.000 0.000 23.991
La Hg Rh
6 3 3
direct
0.000 0.000 0.234
0.000 0.000 0.766
0.333 0.667 0.433
0.333 0.667 0.901
0.667 0.333 0.099
0.667 0.333 0.567
0.000 0.000 0.000
0.333 0.667 0.667
0.667 0.333 0.333
0.000 0.000 0.500
0.333 0.667 0.167
0.667 0.333 0.833
```

Properties
ΔH_f (0 K) ... -0.63 eV/atom
Crystal system ... trigonal

---

(3)
DFT (PBE) results for AcThGa after structural relaxation.

Structure (POSCAR):
```
AcThGa
1.0
4.597 0.000 0.000
0.000 18.924 0.000
0.000 0.000 4.347
Ac Th Ga
4 4 4
direct
0.000 0.094 0.250
0.000 0.906 0.750
0.500 0.406 0.750
0.500 0.594 0.250
0.000 0.287 0.250
0.000 0.713 0.750
0.500 0.213 0.750
0.500 0.787 0.250
0.000 0.459 0.250
0.000 0.541 0.750
0.500 0.041 0.750
0.500 0.959 0.250
```

Properties
ΔH_f (0 K) ... -0.20 eV/atom
Crystal system ... orthorhombic
Offset from the most stable computed form ... 0.000 eV/f.u.

---

(4)
DFT (PBE) results for RbInPt2O after structural relaxation.

Structure (POSCAR):
```
RbInPt2O
1.0
5.092 0.000 0.000
0.000 5.092 0.000
0.000 0.000 7.480
Rb In Pt O
1 1 2 1
direct
0.000 0.000 0.000
0.000 0.000 0.500
0.000 0.500 0.000
0.500 0.000 0.000
0.500 0.500 0.500
```

Properties
ΔE_f (raw) ... 2080 meV per atom
Crystal system ... tetragonal

---

(5)
DFT (PBE) results for Rb2LiNbF6 after structural relaxation.

Structure (POSCAR):
```
Rb2LiNbF6
1.0
0.000 4.270 4.270
4.270 0.000 4.270
4.270 4.270 0.000
Rb Li Nb F
2 1 1 6
direct
0.250 0.250 0.250
0.750 0.750 0.750
0.000 0.000 0.000
0.500 0.500 0.500
0.252 0.252 0.748
0.252 0.748 0.252
0.252 0.748 0.748
0.748 0.252 0.252
0.748 0.252 0.748
0.748 0.748 0.252
```

Properties
ΔE_f (raw) ... -2777 meV per atom
Crystal system ... cubic

---

(6)
DFT (PBE) results for Hg2IrPt after structural relaxation.

Structure (POSCAR):
```
Hg2IrPt
1.0
2.853 0.000 0.000
0.000 5.187 0.000
0.000 0.000 10.021
Hg Ir Pt
4 2 2
direct
0.000 0.000 0.000
0.000 0.500 0.284
0.500 0.000 0.284
0.500 0.500 0.000
0.000 0.000 0.529
0.500 0.500 0.529
0.000 0.500 0.751
0.500 0.000 0.751
```

Properties
ΔH_f (0 K) ... 0.38 eV/atom
Crystal system ... orthorhombic
Offset from the most stable computed form ... 0.255 eV/f.u.

---

(7)
DFT (PBE) results for La2AsRhC after structural relaxation.

Structure (POSCAR):
```
La2AsRhC
1.0
5.340 0.000 0.000
0.000 5.340 0.000
0.000 0.000 3.906
La As Rh C
2 1 1 1
direct
0.000 0.500 0.000
0.500 0.000 0.000
0.000 0.000 0.500
0.500 0.500 0.500
0.500 0.500 0.000
```

Properties
ΔH_f (0 K) ... -0.69 eV/atom
Crystal system ... tetragonal

---

(8)
DFT (PBE) results for Pm2DyEr7 after structural relaxation.

Structure (POSCAR):
```
Pm2DyEr7
1.0
3.219 -14.317 0.000
3.219 14.317 0.000
0.000 0.000 3.501
Pm Dy Er
2 1 7
direct
0.208 0.792 0.000
0.792 0.208 0.000
0.500 0.500 0.500
0.000 0.000 0.000
0.156 0.352 0.000
0.316 0.684 0.500
0.352 0.156 0.000
0.648 0.844 0.000
0.684 0.316 0.500
0.844 0.648 0.000
```

Properties
ΔH_f (0 K) ... 0.16 eV/atom
Crystal system ... orthorhombic
Offset from the most stable computed form ... 0.000 eV/f.u.

---

(9)
DFT (PBE) results for TbSm4Sc5 after structural relaxation.

Structure (POSCAR):
```
TbSm4Sc5
1.0
3.526 0.000 0.000
0.000 3.526 0.000
0.000 0.000 23.019
Tb Sm Sc
1 4 5
direct
0.000 0.000 0.000
0.000 0.000 0.199
0.000 0.000 0.400
0.000 0.000 0.600
0.000 0.000 0.801
0.500 0.500 0.099
0.500 0.500 0.299
0.500 0.500 0.500
0.500 0.500 0.701
0.500 0.500 0.901
```

Properties
ΔH_f (0 K) ... 0.05 eV/atom
Crystal system ... tetragonal
Offset from the most stable computed form ... 0.000 eV/f.u.

---

(10)
DFT (PBE) results for K4Cd after structural relaxation.

Structure (POSCAR):
```
K4Cd
1.0
-4.510 9.066 3.541
4.510 -9.066 3.541
4.510 9.066 -3.541
K Cd
8 2
direct
0.080 0.671 0.751
0.175 0.145 0.319
0.325 0.645 0.970
0.420 0.171 0.591
0.580 0.829 0.409
0.675 0.355 0.030
0.825 0.855 0.681
0.920 0.329 0.249
0.250 0.250 0.000
0.750 0.750 0.000
```

Properties
ΔH_f (0 K) ... -0.01 eV/atom
Crystal system ... orthorhombic
Offset from the most stable computed form ... 0.000 eV/f.u.

---

(11)
DFT (PBE) results for MnPt2W after structural relaxation.

Structure (POSCAR):
```
MnPt2W
1.0
2.771 0.000 0.000
0.000 3.976 0.000
0.000 0.000 5.449
Mn Pt W
1 2 1
direct
0.000 0.000 0.000
0.500 0.500 0.249
0.500 0.500 0.751
0.000 0.000 0.500
```

Properties
ΔH_f (0 K) ... -0.28 eV/atom
Crystal system ... orthorhombic
Offset from the most stable computed form ... 0.053 eV/f.u.

---

(12)
DFT (PBE) results for PmNiGeAu after structural relaxation.

Structure (POSCAR):
```
PmNiGeAu
1.0
6.758 0.000 0.000
0.000 6.758 0.000
0.000 0.000 6.758
Pm Ni Ge Au
4 4 4 4
direct
0.000 0.000 0.000
0.000 0.500 0.500
0.500 0.000 0.500
0.500 0.500 0.000
0.250 0.250 0.250
0.250 0.750 0.750
0.750 0.250 0.750
0.750 0.750 0.250
0.000 0.000 0.500
0.000 0.500 0.000
0.500 0.000 0.000
0.500 0.500 0.500
0.250 0.250 0.750
0.250 0.750 0.250
0.750 0.250 0.250
0.750 0.750 0.750
```

Properties
ΔH_f (0 K) ... -0.33 eV/atom
Crystal system ... cubic